[1]
Pa2BiO: relaxed, GGA-PBE.

Output
The calculation puts the uncorrected formation energy at -0.546 eV per atom. The symmetry is P4/mmm, No. 123. The value obtained for the total energy is -30.01 eV/cell.

a b c (Å): 3.194 3.194 8.322
angles (deg): 90.00 90.00 90.00
Sites, in units of the cell vectors:
Pa 0.000 0.000 0.182
Pa 0.000 0.000 0.818
Bi 0.500 0.500 0.500
O 0.500 0.500 0.000

---

[2]
Pa2BiO: relaxed, GGA-PBE.

Output
The calculation puts the uncorrected formation energy at -1.162 eV per atom. The symmetry is R-3m, No. 166. The value obtained for the total energy is -32.48 eV/cell.

a b c (Å): 7.444 7.444 7.444
angles (deg): 29.60 29.60 29.60
Sites, in units of the cell vectors:
Pa 0.225 0.225 0.225
Pa 0.775 0.775 0.775
Bi 0.000 0.000 0.000
O 0.500 0.500 0.500

---

[3]
Pa6Bi4O19: relaxed, GGA-PBE.

Output
The calculation puts the uncorrected formation energy at -2.615 eV per atom. The symmetry is I23, No. 197. The value obtained for the total energy is -242.53 eV/cell.

a b c (Å): 8.655 8.655 8.655
angles (deg): 109.47 109.47 109.47
Sites, in units of the cell vectors:
Pa 0.176 0.676 0.500
Pa 0.324 0.500 0.824
Pa 0.500 0.176 0.676
Pa 0.500 0.824 0.324
Pa 0.676 0.500 0.176
Pa 0.824 0.324 0.500
Bi 0.000 0.000 0.710
Bi 0.000 0.710 0.000
Bi 0.290 0.290 0.290
Bi 0.710 0.000 0.000
O 0.000 0.000 0.000
O 0.000 0.370 0.370
O 0.000 0.630 0.630
O 0.025 0.255 0.666
O 0.229 0.975 0.640
O 0.255 0.666 0.025
O 0.334 0.589 0.360
O 0.360 0.334 0.589
O 0.370 0.000 0.370
O 0.370 0.370 0.000
O 0.411 0.745 0.771
O 0.589 0.360 0.334
O 0.630 0.000 0.630
O 0.630 0.630 0.000
O 0.640 0.229 0.975
O 0.666 0.025 0.255
O 0.745 0.771 0.411
O 0.771 0.411 0.745
O 0.975 0.640 0.229

---

[4]
Pa2BiO6: relaxed, GGA-PBE.

Output
The calculation puts the uncorrected formation energy at -2.968 eV per atom. The symmetry is P-3m1, No. 164. The value obtained for the total energy is -79.33 eV/cell.

a b c (Å): 3.898 3.898 9.557
angles (deg): 90.00 90.00 120.00
Sites, in units of the cell vectors:
Pa 0.333 0.667 0.166
Pa 0.667 0.333 0.834
Bi 0.000 0.000 0.500
O 0.000 0.000 0.231
O 0.000 0.000 0.769
O 0.333 0.667 0.398
O 0.333 0.667 0.919
O 0.667 0.333 0.081
O 0.667 0.333 0.602

---

[5]
Pa4Bi2O: relaxed, GGA-PBE.

Output
The calculation puts the uncorrected formation energy at -0.700 eV per atom. The symmetry is I4/mmm, No. 139. The value obtained for the total energy is -55.60 eV/cell.

a b c (Å): 8.705 8.705 8.705
angles (deg): 148.64 148.64 44.94
Sites, in units of the cell vectors:
Pa 0.000 0.500 0.500
Pa 0.149 0.149 0.000
Pa 0.500 0.000 0.500
Pa 0.851 0.851 0.000
Bi 0.350 0.350 0.000
Bi 0.650 0.650 0.000
O 0.000 0.000 0.000

---

[6]
PaBiO: relaxed, GGA-PBE.

Output
The calculation puts the uncorrected formation energy at -1.797 eV per atom. The symmetry is P2_13, No. 198. The value obtained for the total energy is -94.90 eV/cell.

a b c (Å): 6.382 6.382 6.382
angles (deg): 90.00 90.00 90.00
Sites, in units of the cell vectors:
Pa 0.096 0.404 0.596
Pa 0.404 0.596 0.096
Pa 0.596 0.096 0.404
Pa 0.904 0.904 0.904
Bi 0.124 0.876 0.376
Bi 0.376 0.124 0.876
Bi 0.624 0.624 0.624
Bi 0.876 0.376 0.124
O 0.150 0.650 0.850
O 0.350 0.350 0.350
O 0.650 0.850 0.150
O 0.850 0.150 0.650

---

[7]
Pa2BiO7: relaxed, GGA-PBE.

Output
The calculation puts the uncorrected formation energy at -2.762 eV per atom. The symmetry is R-3m, No. 166. The value obtained for the total energy is -85.20 eV/cell.

a b c (Å): 10.916 10.916 10.916
angles (deg): 20.45 20.45 20.45
Sites, in units of the cell vectors:
Pa 0.066 0.066 0.066
Pa 0.934 0.934 0.934
Bi 0.500 0.500 0.500
O 0.000 0.000 0.000
O 0.140 0.140 0.140
O 0.280 0.280 0.280
O 0.424 0.424 0.424
O 0.576 0.576 0.576
O 0.720 0.720 0.720
O 0.860 0.860 0.860

---

[8]
Pa2Bi5O12: relaxed, GGA-PBE.

Output
The calculation puts the uncorrected formation energy at -1.926 eV per atom. The symmetry is C2/m, No. 12. The value obtained for the total energy is -134.50 eV/cell.

a b c (Å): 7.590 7.590 7.558
angles (deg): 106.17 106.17 53.35
Sites, in units of the cell vectors:
Pa 0.250 0.750 0.000
Pa 0.750 0.250 0.000
Bi 0.000 0.000 0.500
Bi 0.272 0.272 0.651
Bi 0.304 0.304 0.206
Bi 0.696 0.696 0.794
Bi 0.728 0.728 0.349
O 0.002 0.002 0.818
O 0.083 0.631 0.404
O 0.094 0.572 0.892
O 0.369 0.917 0.596
O 0.428 0.906 0.108
O 0.492 0.492 0.178
O 0.508 0.508 0.822
O 0.572 0.094 0.892
O 0.631 0.083 0.404
O 0.906 0.428 0.108
O 0.917 0.369 0.596
O 0.998 0.998 0.182

---

[9]
PaBiO5: relaxed, GGA-PBE.

Output
The calculation puts the uncorrected formation energy at -2.158 eV per atom. The symmetry is C2/c, No. 15. The value obtained for the total energy is -106.54 eV/cell.

a b c (Å): 5.714 5.714 7.923
angles (deg): 110.11 110.11 73.08
Sites, in units of the cell vectors:
Pa 0.031 0.969 0.750
Pa 0.969 0.031 0.250
Bi 0.500 0.500 0.000
Bi 0.500 0.500 0.500
O 0.181 0.803 0.033
O 0.197 0.819 0.467
O 0.220 0.266 0.368
O 0.266 0.220 0.868
O 0.389 0.611 0.750
O 0.611 0.389 0.250
O 0.734 0.780 0.132
O 0.780 0.734 0.632
O 0.803 0.181 0.533
O 0.819 0.197 0.967

---

[10]
Pa2BiO2: relaxed, GGA-PBE.

Output
The calculation puts the uncorrected formation energy at -2.125 eV per atom. The symmetry is Fddd, No. 70. The value obtained for the total energy is -86.83 eV/cell.

a b c (Å): 7.813 6.725 6.145
angles (deg): 74.60 56.09 49.31
Sites, in units of the cell vectors:
Pa 0.057 0.693 0.057
Pa 0.307 0.943 0.307
Pa 0.693 0.057 0.693
Pa 0.943 0.307 0.943
Bi 0.375 0.375 0.375
Bi 0.625 0.625 0.625
O 0.007 0.007 0.243
O 0.243 0.243 0.007
O 0.757 0.757 0.993
O 0.993 0.993 0.757

---

[11]
PaBi2PbO6: relaxed, GGA-PBE.

Output
The calculation puts the uncorrected formation energy at -1.833 eV per atom. The symmetry is R3, No. 146. The value obtained for the total energy is -69.04 eV/cell.

a b c (Å): 6.297 6.297 6.297
angles (deg): 60.27 60.27 60.27
Sites, in units of the cell vectors:
Pa 0.000 0.000 0.000
Bi 0.217 0.217 0.217
Bi 0.759 0.759 0.759
Pb 0.517 0.517 0.517
O 0.091 0.366 0.846
O 0.242 0.923 0.637
O 0.366 0.846 0.091
O 0.637 0.242 0.923
O 0.846 0.091 0.366
O 0.923 0.637 0.242